HfIn2Pt | PBE | optimized geometry

**VASP energy**: -5.632 eV per atom
**Crystal system**: cubic
**Spin magnetization**: 0.0 μB/f.u.

Cell: 4.8477 4.8477 4.8477 Å, 60.00 60.00 60.00°
Atoms (fractional coordinates):
Hf 0.2500 0.2500 0.2500
In 0.0000 0.0000 0.0000
In 0.7500 0.7500 0.7500
Pt 0.5000 0.5000 0.5000